This record from the Alexandria database describes a relaxed TaTeAs2 crystal. The functional is GGA-PBE.

Lattice parameters (Å, degrees): 9.404 9.404 9.404 20.28 20.28 20.28
Sites, in units of the cell vectors:
1 Ta 0.000 0.000 0.000
2 Te 0.500 0.500 0.500
3 As 0.268 0.268 0.268
4 As 0.732 0.732 0.732

Results
Raw formation energy, eV/f.u.: -0.1



This record from the Alexandria database describes a relaxed NaAcSeS crystal. The functional is GGA-PBE.

Lattice parameters (Å, degrees): 5.198 5.198 5.198 60.00 60.00 60.00
Sites, in units of the cell vectors:
1 Na 0.000 0.000 0.000
2 Ac 0.500 0.500 0.500
3 Se 0.750 0.750 0.750
4 S 0.250 0.250 0.250

Results
Raw formation energy, eV/f.u.: -6.5



This record from the Alexandria database describes a relaxed SrPuHgPt crystal. The functional is GGA-PBE.

Lattice parameters (Å, degrees): 5.270 5.270 5.270 60.00 60.00 60.00
Sites, in units of the cell vectors:
1 Sr 0.000 0.000 0.000
2 Pu 0.500 0.500 0.500
3 Hg 0.250 0.250 0.250
4 Pt 0.750 0.750 0.750

Results
Energy of formation from the pure elements, eV per atom: -0.412



This record from the Alexandria database describes a relaxed LaTa3Fe crystal. The functional is GGA-PBE.

Lattice parameters (Å, degrees): 4.845 4.845 4.845 90.00 90.00 90.00
Sites, in units of the cell vectors:
1 La 0.000 0.000 0.000
2 Ta 0.000 0.000 0.500
3 Ta 0.000 0.500 0.000
4 Ta 0.500 0.000 0.000
5 Fe 0.500 0.500 0.500

Results
Distance to the lowest polymorph of the same formula, meV per atom: 2155.6
Energy of formation from the pure elements, eV per atom: 2.720



This record from the Alexandria database describes a relaxed AlBiBr6 crystal. The functional is GGA-PBE.

Lattice parameters (Å, degrees): 7.281 7.281 7.281 55.83 55.83 55.83
Sites, in units of the cell vectors:
1 Al 0.000 0.000 0.000
2 Bi 0.500 0.500 0.500
3 Br 0.067 0.775 0.391
4 Br 0.225 0.609 0.933
5 Br 0.391 0.067 0.775
6 Br 0.609 0.933 0.225
7 Br 0.775 0.391 0.067
8 Br 0.933 0.225 0.609

Results
Raw formation energy, eV/f.u.: -6.4
Distance to the lowest polymorph of the same formula, meV per atom: 105.6



This record from the Alexandria database describes a relaxed YCo2Ni crystal. The functional is GGA-PBE.

Lattice parameters (Å, degrees): 4.897 4.897 4.897 134.31 134.31 66.61
Sites, in units of the cell vectors:
1 Y 0.000 0.000 0.000
2 Co 0.250 0.750 0.500
3 Co 0.750 0.250 0.500
4 Ni 0.500 0.500 0.000

Results
Energy of formation from the pure elements, eV per atom: 0.132



Copy entry 6 word for word.
This record from the Alexandria database describes a relaxed YCo2Ni crystal. The functional is GGA-PBE.

Lattice parameters (Å, degrees): 4.897 4.897 4.897 134.31 134.31 66.61
Sites, in units of the cell vectors:
1 Y 0.000 0.000 0.000
2 Co 0.250 0.750 0.500
3 Co 0.750 0.250 0.500
4 Ni 0.500 0.500 0.000

Results
Energy of formation from the pure elements, eV per atom: 0.132